Computed, not measured: an optimized crystal structure of TiMnPOsS at the PBE level of DFT.

Computed properties:
- Crystal system: monoclinic
- Total magnetic moment: 1.50 μB/cell
- Density: 8.0 g/cm3
- Energy above the most stable polymorph in this dataset: 0.133 eV/atom
- ΔE_f (raw): -398 meV/atom

Cell lengths 4.260, 4.260, 6.237 Å; angles 105.07, 105.07, 42.66 degrees
Positions (direct):
Ti (0.000, 0.000, 0.000)
Mn (0.656, 0.656, 0.349)
P (0.152, 0.152, 0.642)
Os (0.436, 0.436, 0.632)
S (0.335, 0.335, 0.194)

Computed, not measured: an optimized crystal structure of AuSeNO2 at the PBE level of DFT.

Computed properties:
- Crystal system: tetragonal
- Total magnetic moment: 0.00 μB/cell
- Density: 8.8 g/cm3
- ΔE_f (raw): 878 meV/atom

Cell lengths 3.673, 3.673, 4.515 Å; angles 90.00, 90.00, 90.00 degrees
Positions (direct):
Au (0.000, 0.000, 0.000)
Se (0.500, 0.500, 0.500)
N (0.500, 0.500, 0.000)
O (0.000, 0.500, 0.500)
O (0.500, 0.000, 0.500)

Computed, not measured: an optimized crystal structure of NdSmTmIn at the PBE level of DFT.

Computed properties:
- Crystal system: cubic
- Total magnetic moment: 0.02 μB/cell
- Density: 8.1 g/cm3
- Formation energy: -0.1563 eV per atom
- Energy above the most stable polymorph in this dataset: 0.065 eV/atom

Cell lengths 5.521, 5.521, 5.521 Å; angles 60.00, 60.00, 60.00 degrees
Positions (direct):
Nd (0.000, 0.000, 0.000)
Sm (0.500, 0.500, 0.500)
Tm (0.250, 0.250, 0.250)
In (0.750, 0.750, 0.750)

Computed, not measured: an optimized crystal structure of Li3Ag2Au4 at the PBE level of DFT.

Computed properties:
- Crystal system: monoclinic
- Total magnetic moment: 0.00 μB/cell
- Density: 11.3 g/cm3
- Formation energy: -0.3501 eV per atom
- Energy above the most stable polymorph in this dataset: 0.000 eV/atom

Cell lengths 4.997, 4.997, 8.532 Å; angles 107.95, 107.95, 48.58 degrees
Positions (direct):
Li (0.000, 0.000, 0.000)
Li (0.341, 0.341, 0.440)
Li (0.659, 0.659, 0.560)
Ag (0.328, 0.328, 0.769)
Ag (0.672, 0.672, 0.231)
Au (0.012, 0.012, 0.340)
Au (0.335, 0.335, 0.113)
Au (0.665, 0.665, 0.887)
Au (0.988, 0.988, 0.660)

Computed, not measured: an optimized crystal structure of SmTlTcO6 at the PBE level of DFT.

Computed properties:
- Crystal system: trigonal
- Total magnetic moment: 0.00 μB/cell
- Density: 6.9 g/cm3
- ΔE_f (raw): -1618 meV/atom

Cell lengths 5.649, 5.649, 4.795 Å; angles 90.00, 90.00, 120.00 degrees
Positions (direct):
Sm (0.000, 0.000, 0.000)
Tl (0.333, 0.667, 0.500)
Tc (0.667, 0.333, 0.000)
O (0.382, 0.057, 0.773)
O (0.382, 0.325, 0.227)
O (0.675, 0.057, 0.227)
O (0.675, 0.618, 0.773)
O (0.943, 0.325, 0.773)
O (0.943, 0.618, 0.227)

Computed, not measured: an optimized crystal structure of LiNdZnAu at the PBE level of DFT.

Computed properties:
- Crystal system: cubic
- Total magnetic moment: 0.00 μB/cell
- Density: 8.0 g/cm3
- Formation energy: -0.4472 eV per atom

Cell lengths 4.950, 4.950, 4.950 Å; angles 60.00, 60.00, 60.00 degrees
Positions (direct):
Li (0.000, 0.000, 0.000)
Nd (0.500, 0.500, 0.500)
Zn (0.750, 0.750, 0.750)
Au (0.250, 0.250, 0.250)

Computed, not measured: an optimized crystal structure of CaTb5Er6 at the PBE level of DFT.

Computed properties:
- Crystal system: monoclinic
- Total magnetic moment: 0.00 μB/cell
- Density: 8.0 g/cm3
- Formation energy: 0.0504 eV per atom

Cell lengths 7.944, 7.944, 6.156 Å; angles 97.40, 97.40, 84.31 degrees
Positions (direct):
Ca (0.000, 0.000, 0.000)
Tb (0.171, 0.829, 0.500)
Tb (0.339, 0.661, 0.000)
Tb (0.500, 0.500, 0.500)
Tb (0.661, 0.339, 0.000)
Tb (0.829, 0.171, 0.500)
Er (0.085, 0.424, 0.253)
Er (0.252, 0.252, 0.741)
Er (0.424, 0.085, 0.253)
Er (0.576, 0.915, 0.747)
Er (0.748, 0.748, 0.259)
Er (0.915, 0.576, 0.747)

Computed, not measured: an optimized crystal structure of ZrBiS4 at the PBE level of DFT.

Computed properties:
- Crystal system: monoclinic
- Total magnetic moment: 0.00 μB/cell
- Density: 4.2 g/cm3
- ΔE_f (raw): -688 meV/atom

Cell lengths 8.904, 8.904, 7.959 Å; angles 104.53, 104.53, 34.17 degrees
Positions (direct):
Zr (0.219, 0.219, 0.318)
Zr (0.781, 0.781, 0.682)
Bi (0.101, 0.101, 0.723)
Bi (0.899, 0.899, 0.277)
S (0.067, 0.067, 0.356)
S (0.098, 0.098, 0.073)
S (0.261, 0.261, 0.657)
S (0.343, 0.343, 0.213)
S (0.657, 0.657, 0.787)
S (0.739, 0.739, 0.343)
S (0.902, 0.902, 0.927)
S (0.933, 0.933, 0.644)

Computed, not measured: an optimized crystal structure of Nd2CdSb at the PBE level of DFT.

Computed properties:
- Crystal system: cubic
- Total magnetic moment: 0.00 μB/cell
- Density: 7.6 g/cm3
- Energy above the most stable polymorph in this dataset: 0.079 eV/atom
- ΔE_f (raw): -589 meV/atom

Cell lengths 5.453, 5.453, 5.453 Å; angles 60.00, 60.00, 60.00 degrees
Positions (direct):
Nd (0.250, 0.250, 0.250)
Nd (0.750, 0.750, 0.750)
Cd (0.000, 0.000, 0.000)
Sb (0.500, 0.500, 0.500)

Computed, not measured: an optimized crystal structure of LiGaFeRe at the PBE level of DFT.

Computed properties:
- Crystal system: monoclinic
- Total magnetic moment: 1.19 μB/cell
- Density: 9.5 g/cm3
- Formation energy: 0.0625 eV per atom
- Energy above the most stable polymorph in this dataset: 0.055 eV/atom

Cell lengths 2.712, 2.712, 8.788 Å; angles 98.26, 98.26, 61.04 degrees
Positions (direct):
Li (0.000, 0.000, 0.000)
Ga (0.260, 0.260, 0.742)
Fe (0.850, 0.850, 0.505)
Re (0.441, 0.441, 0.276)

Computed, not measured: an optimized crystal structure of IrRuS2Cl at the PBE level of DFT.

Computed properties:
- Crystal system: tetragonal
- Total magnetic moment: 3.79 μB/cell
- Density: 6.3 g/cm3
- Energy above the most stable polymorph in this dataset: 0.000 eV/atom
- ΔE_f (raw): 992 meV/atom

Cell lengths 4.637, 4.637, 4.788 Å; angles 90.00, 90.00, 90.00 degrees
Positions (direct):
Ir (0.000, 0.000, 0.000)
Ru (0.500, 0.500, 0.500)
S (0.000, 0.500, 0.000)
S (0.500, 0.000, 0.000)
Cl (0.000, 0.000, 0.500)

Computed, not measured: an optimized crystal structure of Hf2Ti2Ir at the PBE level of DFT.

Computed properties:
- Crystal system: tetragonal
- Total magnetic moment: 0.00 μB/cell
- Density: 11.2 g/cm3
- Formation energy: -0.2669 eV per atom

Cell lengths 6.481, 6.481, 4.536 Å; angles 90.00, 90.00, 90.00 degrees
Positions (direct):
Hf (0.161, 0.339, 0.000)
Hf (0.339, 0.839, 0.000)
Hf (0.661, 0.161, 0.000)
Hf (0.839, 0.661, 0.000)
Ti (0.148, 0.648, 0.500)
Ti (0.352, 0.148, 0.500)
Ti (0.648, 0.852, 0.500)
Ti (0.852, 0.352, 0.500)
Ir (0.000, 0.000, 0.500)
Ir (0.500, 0.500, 0.500)

Computed, not measured: an optimized crystal structure of La2DyCdSe5 at the PBE level of DFT.

Computed properties:
- Crystal system: orthorhombic
- Total magnetic moment: 0.00 μB/cell
- Density: 6.6 g/cm3
- ΔE_f (raw): -1638 meV/atom

Cell lengths 9.185, 9.185, 12.792 Å; angles 90.00, 90.00, 153.79 degrees
Positions (direct):
La (0.116, 0.884, 0.500)
La (0.133, 0.867, 0.124)
La (0.867, 0.133, 0.624)
La (0.884, 0.116, 0.000)
Dy (0.203, 0.797, 0.827)
Dy (0.797, 0.203, 0.327)
Cd (0.457, 0.543, 0.269)
Cd (0.543, 0.457, 0.769)
Se (0.048, 0.952, 0.890)
Se (0.287, 0.713, 0.482)
Se (0.310, 0.690, 0.169)
Se (0.361, 0.639, 0.816)
Se (0.494, 0.506, 0.581)
Se (0.506, 0.494, 0.081)
Se (0.639, 0.361, 0.316)
Se (0.690, 0.310, 0.669)
Se (0.713, 0.287, 0.982)
Se (0.952, 0.048, 0.390)

Computed, not measured: an optimized crystal structure of Cd2TeRu at the PBE level of DFT.

Computed properties:
- Crystal system: monoclinic
- Total magnetic moment: 0.00 μB/cell
- Density: 7.6 g/cm3
- Energy above the most stable polymorph in this dataset: 0.045 eV/atom
- ΔE_f (raw): 90 meV/atom

Cell lengths 5.097, 5.097, 6.523 Å; angles 105.43, 105.43, 37.33 degrees
Positions (direct):
Cd (0.000, 0.000, 0.000)
Cd (0.210, 0.210, 0.732)
Te (0.845, 0.845, 0.328)
Ru (0.464, 0.464, 0.635)

Computed, not measured: an optimized crystal structure of Ca3Bi3N5 at the PBE level of DFT.

Computed properties:
- Crystal system: triclinic
- Total magnetic moment: 0.00 μB/cell
- Density: 6.8 g/cm3
- ΔE_f (raw): -61 meV/atom

Cell lengths 6.550, 7.218, 9.353 Å; angles 102.49, 106.98, 100.02 degrees
Positions (direct):
Ca (0.168, 0.337, 0.262)
Ca (0.180, 0.198, 0.589)
Ca (0.243, 0.518, 0.955)
Ca (0.757, 0.482, 0.045)
Ca (0.820, 0.802, 0.411)
Ca (0.832, 0.663, 0.738)
Bi (0.243, 0.055, 0.945)
Bi (0.310, 0.845, 0.281)
Bi (0.315, 0.676, 0.627)
Bi (0.685, 0.324, 0.373)
Bi (0.690, 0.155, 0.719)
Bi (0.757, 0.945, 0.055)
N (0.038, 0.637, 0.294)
N (0.059, 0.812, 0.023)
N (0.117, 0.892, 0.677)
N (0.393, 0.168, 0.418)
N (0.476, 0.395, 0.154)
N (0.524, 0.605, 0.846)
N (0.607, 0.832, 0.582)
N (0.883, 0.108, 0.323)
N (0.941, 0.188, 0.977)
N (0.962, 0.363, 0.706)

Computed, not measured: an optimized crystal structure of AlSiTe2 at the PBE level of DFT.

Computed properties:
- Crystal system: tetragonal
- Total magnetic moment: 0.00 μB/cell
- Density: 5.6 g/cm3
- Energy above the most stable polymorph in this dataset: 0.420 eV/atom
- ΔE_f (raw): 355 meV/atom

Cell lengths 3.552, 3.552, 7.239 Å; angles 90.00, 90.00, 90.00 degrees
Positions (direct):
Al (0.000, 0.000, 0.000)
Si (0.000, 0.000, 0.500)
Te (0.500, 0.500, 0.252)
Te (0.500, 0.500, 0.748)

Computed, not measured: an optimized crystal structure of AgHgMo2 at the PBE level of DFT.

Computed properties:
- Crystal system: monoclinic
- Total magnetic moment: 0.00 μB/cell
- Density: 12.1 g/cm3
- Formation energy: 0.5568 eV per atom

Cell lengths 5.320, 5.320, 2.773 Å; angles 90.16, 90.16, 118.56 degrees
Positions (direct):
Ag (0.000, 0.000, 0.000)
Hg (0.500, 0.500, 0.000)
Mo (0.000, 0.500, 0.500)
Mo (0.500, 0.000, 0.500)

Computed, not measured: an optimized crystal structure of MgHg2As2 at the PBE level of DFT.

Computed properties:
- Crystal system: tetragonal
- Total magnetic moment: 0.00 μB/cell
- Density: 7.4 g/cm3
- Formation energy: 0.0704 eV per atom
- Energy above the most stable polymorph in this dataset: 0.000 eV/atom

Cell lengths 8.818, 8.818, 8.818 Å; angles 154.26, 154.26, 36.73 degrees
Positions (direct):
Mg (0.000, 0.000, 0.000)
Hg (0.250, 0.750, 0.500)
Hg (0.750, 0.250, 0.500)
As (0.428, 0.428, 0.000)
As (0.572, 0.572, 0.000)